1.
The following is a PBE calculation of YMgZn2 after structural relaxation, from the Alexandria database.

The magnetization is 0.18 μB per formula unit. As for the space group: P4mm, No. 99. As for the formation energy: -127 meV/atom.

Geometry as POSCAR:
```
YMgZn2
1.0
-1.985 0.541 -2.681
-1.551 -2.952 0.552
-4.867 3.358 4.282
Mg Y Zn
1 1 2
direct
0.000 0.000 0.452
0.500 0.500 0.778
0.000 0.000 0.041
0.500 0.500 0.228
```

=====

2.
The following is a PBE calculation of LiBe3Pd after structural relaxation, from the Alexandria database.

The value obtained for the relative energy among the computed polymorphs is 475 meV per atom. The magnetization is 0.00 μB per formula unit. As for the space group: Pm-3m, No. 221. As for the formation energy: 738 meV/atom.

Geometry as POSCAR:
```
LiBe3Pd
1.0
-1.793 -0.627 3.283
2.543 -2.674 0.878
2.169 2.616 1.685
Be Pd Li
3 1 1
direct
0.000 0.500 0.000
0.000 0.000 0.500
0.500 0.000 0.000
0.500 0.500 0.500
0.000 0.000 0.000
```

=====

3.
The following is a PBE calculation of InTc2Se after structural relaxation, from the Alexandria database.

The value obtained for the relative energy among the computed polymorphs is 446 meV per atom. The magnetization is 0.00 μB per formula unit. As for the space group: Cmmm, No. 65. As for the uncorrected formation energy: 0.518 eV/atom.

Geometry as POSCAR:
```
InTc2Se
1.0
-1.389 0.362 2.728
1.030 -2.774 -0.864
7.514 1.668 3.605
In Se Tc
1 1 2
direct
0.500 0.500 0.250
0.500 0.500 0.750
0.000 0.000 0.975
0.000 0.000 0.525
```

=====

4.
The following is a PBE calculation of Ce6CoTe5 after structural relaxation, from the Alexandria database.

The magnetization is 6.39 μB per formula unit. As for the space group: C2/m, No. 12. As for the uncorrected formation energy: -1.123 eV/atom.

Geometry as POSCAR:
```
Ce6CoTe5
1.0
7.615 0.261 0.000
2.393 7.330 0.000
1.196 3.665 6.590
Ce Co Te
6 1 5
direct
0.781 0.071 0.294
0.219 0.635 0.294
0.249 0.225 0.000
0.751 0.775 0.000
0.781 0.365 0.706
0.219 0.929 0.706
0.000 0.000 0.000
0.500 0.185 0.631
0.000 0.337 0.326
0.500 0.500 0.000
0.000 0.663 0.674
0.500 0.815 0.369
```

=====

5.
The following is a PBE calculation of Pr2BiTe4 after structural relaxation, from the Alexandria database.

The magnetization is 0.00 μB per formula unit. As for the space group: C2/m, No. 12. As for the uncorrected formation energy: -0.966 eV/atom.

Geometry as POSCAR:
```
Pr2BiTe4
1.0
-3.633 -2.567 0.167
4.596 -6.503 0.015
-0.361 4.856 7.452
Pr Bi Te
2 1 4
direct
0.739 0.755 0.477
0.261 0.245 0.523
0.000 0.000 0.000
0.880 0.205 0.760
0.120 0.795 0.240
0.632 0.292 0.265
0.368 0.708 0.735
```

=====

6.
The following is a PBE calculation of PrPu2As4 after structural relaxation, from the Alexandria database.

The magnetization is 9.30 μB per formula unit. As for the space group: Cmcm, No. 63. As for the formation energy: -830 meV/atom.

Geometry as POSCAR:
```
PrPu2As4
1.0
-2.806 -3.069 1.147
6.787 -3.153 0.054
1.311 3.014 11.269
Pr Pu As
2 4 8
direct
0.612 0.224 0.750
0.388 0.776 0.250
0.129 0.258 0.444
0.871 0.742 0.944
0.129 0.258 0.056
0.871 0.742 0.556
0.753 0.506 0.142
0.753 0.506 0.358
0.247 0.494 0.858
0.247 0.494 0.642
0.975 0.950 0.750
0.025 0.050 0.250
0.500 0.000 0.000
0.500 0.000 0.500
```

=====

7.
The following is a PBE calculation of SrCr2Pt after structural relaxation, from the Alexandria database.

The magnetization is 8.24 μB per formula unit. As for the space group: C2/m, No. 12. As for the formation energy: 651 meV/atom.

Geometry as POSCAR:
```
SrCr2Pt
1.0
-2.392 2.607 3.866
-2.741 -4.810 -1.884
0.712 -2.136 2.122
Cr Pt Sr
2 1 1
direct
0.000 0.000 0.000
0.500 0.000 0.500
0.000 0.500 0.500
0.500 0.500 0.000
```

=====

8.
The following is a PBE calculation of Ba8PBr4N3 after structural relaxation, from the Alexandria database.

The magnetization is 0.14 μB per formula unit. As for the space group: R-3m, No. 166. As for the uncorrected formation energy: -1.240 eV/atom.

Geometry as POSCAR:
```
Ba8PBr4N3
1.0
8.657 0.000 0.000
0.000 9.417 0.531
-4.329 -4.336 6.124
Ba P Br N
8 1 4 3
direct
0.242 0.692 0.951
0.241 0.692 0.483
0.270 0.311 0.540
0.709 0.692 0.951
0.291 0.308 0.049
0.730 0.689 0.460
0.759 0.308 0.517
0.758 0.308 0.049
0.000 0.500 0.000
0.500 0.000 0.000
0.500 0.000 0.500
0.000 0.000 0.000
0.000 0.000 0.500
0.500 0.500 0.000
0.500 0.500 0.500
0.000 0.500 0.500
```

=====

9.
The following is a PBE calculation of BaZnRe after structural relaxation, from the Alexandria database.

The value obtained for the relative energy among the computed polymorphs is 294 meV per atom. The magnetization is 0.00 μB per formula unit. As for the space group: P-6m2, No. 187. As for the formation energy: 1043 meV/atom.

Geometry as POSCAR:
```
BaZnRe
1.0
-1.045 -1.166 -4.858
-2.319 -2.520 3.785
-2.229 2.037 -0.009
Ba Re Zn
1 1 1
direct
0.000 0.000 0.000
0.667 0.333 0.499
0.333 0.667 0.501
```

=====

10.
The following is a PBE calculation of TlW3 after structural relaxation, from the Alexandria database.

The value obtained for the relative energy among the computed polymorphs is 249 meV per atom. The magnetization is 0.00 μB per formula unit. As for the space group: R-3m, No. 166. As for the formation energy: 820 meV/atom.

Geometry as POSCAR:
```
TlW3
1.0
-0.701 1.091 -9.910
-1.884 -1.539 -9.694
-3.518 0.817 -9.319
Tl W
1 3
direct
0.000 0.000 0.000
0.753 0.753 0.753
0.500 0.500 0.500
0.247 0.247 0.247
```

=====

11.
The following is a PBE calculation of Ca2Mg3Zn after structural relaxation, from the Alexandria database.

The value obtained for the relative energy among the computed polymorphs is 174 meV per atom. The magnetization is 0.00 μB per formula unit. As for the space group: P6_3/mmc, No. 194. As for the formation energy: 28 meV/atom.

Geometry as POSCAR:
```
Ca2Mg3Zn
1.0
-2.626 -0.972 -4.532
3.150 -3.743 2.110
-9.882 -4.540 6.700
Mg Zn Ca
6 2 4
direct
0.333 0.667 0.140
0.667 0.333 0.640
0.667 0.333 0.860
0.333 0.667 0.360
0.000 0.000 0.000
0.000 0.000 0.500
0.000 0.000 0.250
0.000 0.000 0.750
0.333 0.667 0.615
0.667 0.333 0.115
0.667 0.333 0.385
0.333 0.667 0.885
```

=====

12.
The following is a PBE calculation of NaLi2AgCl4 after structural relaxation, from the Alexandria database.

The magnetization is 0.00 μB per formula unit. As for the space group: Cmcm, No. 63. As for the uncorrected formation energy: -1.396 eV/atom.

Geometry as POSCAR:
```
NaLi2AgCl4
1.0
-1.212 2.917 1.948
0.550 -5.152 4.521
13.379 3.773 2.671
Na Li Ag Cl
2 4 2 8
direct
0.168 0.336 0.750
0.832 0.664 0.250
0.374 0.748 0.521
0.626 0.252 0.021
0.626 0.252 0.479
0.374 0.748 0.979
0.886 0.772 0.750
0.114 0.228 0.250
0.243 0.486 0.110
0.757 0.514 0.610
0.757 0.514 0.890
0.243 0.486 0.390
0.000 0.000 0.500
0.000 0.000 0.000
0.518 0.036 0.750
0.482 0.964 0.250
```

=====

13.
The following is a PBE calculation of TmScZnOs after structural relaxation, from the Alexandria database.

The magnetization is 0.00 μB per formula unit. As for the space group: F-43m, No. 216. As for the formation energy: -366 meV/atom.

Geometry as POSCAR:
```
TmScZnOs
1.0
4.735 0.000 0.000
2.367 4.100 0.000
2.367 1.367 3.866
Sc Zn Tm Os
1 1 1 1
direct
0.250 0.250 0.250
0.000 0.000 0.000
0.750 0.750 0.750
0.500 0.500 0.500
```

=====

14.
The following is a PBE calculation of RbScPb after structural relaxation, from the Alexandria database.

The value obtained for the relative energy among the computed polymorphs is 329 meV per atom. The magnetization is 0.00 μB per formula unit. As for the space group: Pnma, No. 62. As for the formation energy: 92 meV/atom.

Geometry as POSCAR:
```
RbScPb
1.0
8.582 0.000 0.000
0.000 5.118 0.000
0.000 0.000 12.749
Pb Sc Rb
4 4 4
direct
0.304 0.250 0.416
0.196 0.750 0.916
0.696 0.750 0.584
0.804 0.250 0.084
0.033 0.250 0.914
0.467 0.750 0.414
0.967 0.750 0.086
0.533 0.250 0.586
0.872 0.250 0.376
0.628 0.750 0.876
0.128 0.750 0.624
0.372 0.250 0.124
```

=====

15.
The following is a PBE calculation of Ac3Ge after structural relaxation, from the Alexandria database.

The value obtained for the relative energy among the computed polymorphs is 2 meV per atom. The magnetization is 0.00 μB per formula unit. As for the space group: P4_2/n, No. 86. As for the formation energy: -368 meV/atom.

Geometry as POSCAR:
```
Ac3Ge
1.0
-2.967 -4.171 -4.161
-2.267 -8.457 10.093
-11.717 5.969 2.370
Ac Ge
24 8
direct
0.014 0.280 0.824
0.014 0.720 0.176
0.514 0.676 0.780
0.514 0.324 0.220
0.486 0.220 0.676
0.486 0.780 0.324
0.986 0.824 0.720
0.986 0.176 0.280
0.520 0.385 0.918
0.520 0.615 0.082
0.020 0.582 0.885
0.020 0.418 0.115
0.980 0.115 0.582
0.980 0.885 0.418
0.480 0.918 0.615
0.480 0.082 0.385
0.734 0.033 0.865
0.734 0.967 0.135
0.234 0.635 0.533
0.234 0.365 0.467
0.766 0.467 0.635
0.766 0.533 0.365
0.266 0.865 0.967
0.266 0.135 0.033
0.775 0.798 0.957
0.775 0.202 0.043
0.275 0.543 0.298
0.275 0.457 0.702
0.725 0.702 0.543
0.725 0.298 0.457
0.225 0.957 0.202
0.225 0.043 0.798
```

=====

16.
The following is a PBE calculation of Li2Pm2TmSn2 after structural relaxation, from the Alexandria database.

The magnetization is 0.00 μB per formula unit. As for the space group: R-3m, No. 166. As for the formation energy: -448 meV/atom.

Geometry as POSCAR:
```
Li2Pm2TmSn2
1.0
-3.891 -2.033 1.877
0.445 -3.300 3.422
-1.499 4.721 8.079
Li Pm Tm Sn
2 2 1 2
direct
0.607 0.607 0.178
0.393 0.393 0.822
0.127 0.127 0.618
0.873 0.873 0.382
0.000 0.000 0.000
0.732 0.732 0.803
0.268 0.268 0.197
```

=====

17.
The following is a PBE calculation of Tm2CuO after structural relaxation, from the Alexandria database.

The magnetization is 0.00 μB per formula unit. As for the space group: R-3m, No. 166. As for the uncorrected formation energy: -0.941 eV/atom.

Geometry as POSCAR:
```
Tm2CuO
1.0
3.302 0.000 0.000
1.651 2.860 0.000
1.651 0.953 8.244
Tm O Cu
2 1 1
direct
0.111 0.111 0.667
0.889 0.889 0.333
0.500 0.500 0.500
0.000 0.000 0.000
```

=====

18.
The following is a PBE calculation of NaLaCuH after structural relaxation, from the Alexandria database.

The value obtained for the relative energy among the computed polymorphs is 62 meV per atom. The magnetization is 0.00 μB per formula unit. As for the space group: Cm, No. 8.

Geometry as POSCAR:
```
NaLaCuH
1.0
-3.318 -2.874 -1.848
-1.105 -0.856 3.315
-6.765 8.526 -0.054
Na H Cu La
2 2 2 2
direct
0.652 0.000 0.033
0.652 0.500 0.533
0.954 0.000 0.680
0.954 0.500 0.180
0.648 0.000 0.758
0.648 0.500 0.258
0.142 0.000 0.297
0.142 0.500 0.797
```

=====

19.
The following is a PBE calculation of CaFeP2 after structural relaxation, from the Alexandria database.

The value obtained for the relative energy among the computed polymorphs is 384 meV per atom. The magnetization is 0.35 μB per formula unit. As for the space group: P4/mmm, No. 123. As for the formation energy: -256 meV/atom.

Geometry as POSCAR:
```
CaFeP2
1.0
2.989 0.022 0.000
-0.022 2.989 0.000
0.000 0.000 6.695
Ca Fe P
1 1 2
direct
0.500 0.500 0.250
0.500 0.500 0.750
0.000 0.000 0.938
0.000 0.000 0.562
```

=====

20.
The following is a PBE calculation of CsNaPu2O8 after structural relaxation, from the Alexandria database.

The magnetization is 2.00 μB per formula unit. As for the space group: P-3, No. 147. As for the uncorrected formation energy: -1.999 eV/atom.

Geometry as POSCAR:
```
CsNaPu2O8
1.0
-3.296 4.447 2.183
-0.139 -5.355 2.590
5.397 1.915 4.248
Cs Na Pu O
1 1 2 8
direct
0.000 0.000 0.500
0.000 0.000 0.000
0.667 0.333 0.055
0.333 0.667 0.945
0.940 0.614 0.879
0.386 0.327 0.879
0.673 0.060 0.879
0.060 0.386 0.121
0.614 0.673 0.121
0.327 0.940 0.121
0.667 0.333 0.316
0.333 0.667 0.684
```

=====

21.
The following is a PBE calculation of BaLiCeO4 after structural relaxation, from the Alexandria database.

The magnetization is 0.21 μB per formula unit. As for the space group: Cmcm, No. 63. As for the uncorrected formation energy: -2.399 eV/atom.

Geometry as POSCAR:
```
BaLiCeO4
1.0
-3.807 2.327 1.725
-1.636 -4.960 3.083
5.604 0.933 4.475
Ba Li Ce O
2 2 2 8
direct
0.099 0.250 0.198
0.901 0.750 0.802
0.238 0.750 0.476
0.762 0.250 0.524
0.628 0.750 0.256
0.372 0.250 0.744
0.905 0.250 0.809
0.478 0.750 0.955
0.095 0.750 0.191
0.522 0.250 0.045
0.500 0.500 0.500
0.000 0.000 0.500
0.500 0.000 0.500
0.000 0.500 0.500
```

=====

22.
The following is a PBE calculation of Pm6NdDy3 after structural relaxation, from the Alexandria database.

The value obtained for the relative energy among the computed polymorphs is 18 meV per atom. The magnetization is 0.00 μB per formula unit. As for the space group: Cmc2_1, No. 36. As for the formation energy: 143 meV/atom.

Geometry as POSCAR:
```
Pm6NdDy3
1.0
-2.474 5.840 -0.126
-6.631 -2.990 -8.394
-3.350 -1.193 10.523
Pm Nd Dy
12 2 6
direct
0.048 0.709 0.627
0.548 0.627 0.709
0.373 0.527 0.945
0.873 0.945 0.527
0.375 0.963 0.037
0.646 0.281 0.719
0.146 0.719 0.281
0.875 0.037 0.963
0.373 0.055 0.473
0.873 0.473 0.055
0.048 0.373 0.291
0.548 0.291 0.373
0.111 0.195 0.805
0.611 0.805 0.195
0.462 0.942 0.711
0.962 0.711 0.942
0.086 0.384 0.616
0.586 0.616 0.384
0.962 0.058 0.289
0.462 0.289 0.058
```